A plane-wave DFT calculation with meta-GGA SCAN was carried out for a crystal of Tb3Sc2S7 relaxed with PBEsol.

Formation energy (no corrections) = -2301 meV per atom
Raw total energy = -263.77 eV for the cell shown
Magnetization = 0.00 μB/f.u.

Geometry as POSCAR:
```
Tb3Sc2S7
1.0
6.142 -1.853 0.000
6.142 1.853 0.000
-2.952 0.000 10.844
Tb Sc S
3 2 7
Cartesian
0.000 0.000 0.000
3.138 0.000 2.196
6.195 0.000 8.648
0.106 0.000 4.662
9.226 0.000 6.182
-1.909 0.000 8.404
1.369 0.000 6.930
1.337 0.000 10.266
4.666 0.000 5.422
7.996 0.000 0.578
7.964 0.000 3.914
11.241 0.000 2.440
```